DFT (PBE-GGA) results for a relaxed Os2RuAu crystal.

## Properties
* ΔH_f (0 K): 2.500 eV/f.u.
* uncorrected energy: -8.13 eV/atom
* offset from the most stable computed form: 346 meV per atom

a b c (Å): 5.9113 5.9113 5.9113
angles (deg): 153.28 135.46 52.70
Closest atoms and distances in Å follow each position.
Positions (direct):
1 Os 0.9706 0.9706 0.0000  4 Os 2.53-2.73, 4 Ru 2.74
2 Os 0.7700 0.2700 0.5000  4 Os 2.53-2.73, 4 Au 2.69, 2 Ru 2.76
3 Au 0.2155 0.7155 0.5000  6 Os 2.69-2.93, 2 Au 2.73, 2 Ru 2.89
4 Ru 0.5439 0.5439 0.0000  2 Ru 2.73, 6 Os 2.74-2.76, 2 Au 2.89